No. 1
## YNbTe2 (GGA-PBE)

Data for a geometry-optimized YNbTe2 structure.

It has space group Fm-3m (No. 225), with a = 7.1831 Å, b = 7.1831 Å, c = 7.1831 Å, α = 90.00°, β = 90.00° and γ = 90.00°. The distinct sites, in fractional coordinates, are Y at (0.0000, 0.0000, 0.0000), Nb at (0.0000, 0.0000, 0.5000) and Te at (0.2500, 0.2500, 0.2500).

For the density of states at the Fermi level, the calculation gives 0.02 states/eV/atom. The total energy comes out at -101.251 eV for the cell shown. For the energy above the lowest structure with this stoichiometry, the calculation gives 0.0000 eV/atom.

No. 2
## RbNaZrH2 (GGA-PBE)

Data for a geometry-optimized RbNaZrH2 structure.

It has space group P4/mmm (No. 123), with a = 4.8562 Å, b = 4.8562 Å, c = 5.5586 Å, α = 90.00°, β = 90.00° and γ = 90.00°. The distinct sites, in fractional coordinates, are Rb at (0.0000, 0.0000, 0.0000), Na at (0.0000, 0.0000, 0.5000), Zr at (0.5000, 0.5000, 0.5000) and H at (0.0000, 0.5000, 0.0000).

For the density of states at the Fermi level, the calculation gives 0.96 states/eV/atom. The total energy comes out at -11.065 eV for the cell shown.

Total moment across the listed records, respectively: 0.00, 2.53 μB per formula unit.